No. 1
A plane-wave DFT calculation with PBE was carried out for a relaxed structure of CoHg.

Computed properties:
For the energy, the calculation gives -52.52 eV for the cell shown.

```
CoHg
1.0
-0.244 2.006 -7.495
-5.013 -5.764 -1.379
-3.454 2.798 0.861
Co Hg
8 8
direct
0.150 0.150 0.000 Co
0.150 0.850 0.000 Co
0.850 0.150 0.000 Co
0.850 0.850 0.000 Co
0.650 0.650 0.500 Co
0.650 0.350 0.500 Co
0.350 0.650 0.500 Co
0.350 0.350 0.500 Co
0.784 0.500 0.000 Hg
0.216 0.500 0.000 Hg
0.500 0.216 0.000 Hg
0.500 0.784 0.000 Hg
0.284 0.000 0.500 Hg
0.716 0.000 0.500 Hg
0.000 0.716 0.500 Hg
0.000 0.284 0.500 Hg
```

---

No. 2
A plane-wave DFT calculation with PBE was carried out for a relaxed structure of CoHg3.

Computed properties:
The value obtained for the energy above the lowest structure with this stoichiometry is 0.0849 eV/atom. For the energy, the calculation gives -6.55 eV for the cell shown.

```
CoHg3
1.0
-0.159 -0.073 3.027
0.462 -2.996 -0.049
8.696 1.333 0.490
Co Hg
1 3
direct
0.000 0.000 0.000 Co
0.000 0.000 0.500 Hg
0.500 0.500 0.199 Hg
0.500 0.500 0.801 Hg
```

---

no.,formation energy from the elements (eV per atom),density of states at the Fermi level (states/eV/cell)
1,0.4214,14.99
2,0.3642,5.05